Density functional theory data (PBE-GGA) for a geometry-optimized EuIn4Pb structure.

Lattice parameters (Å, degrees): 6.2452 6.2452 6.2452 60.00 60.00 60.00
Last column: magnetic moment on the atom in μB.
Atoms (fractional coordinates):
1 Pb 0.0000 0.0000 0.0000  0.00
2 Eu 0.2500 0.2500 0.2500  -6.90
3 In 0.6251 0.6251 0.1248  0.00
4 In 0.6251 0.1248 0.6251  0.00
5 In 0.6251 0.6251 0.6251  0.00
6 In 0.1248 0.6251 0.6251  0.00

Results
The space group is F-43m. For the formation energy, the calculation gives -0.176 eV per atom. The total energy comes out at -4.33 eV/atom. The magnetization comes out at 7.2 μB per cell. Its calculated volume is 172 Å³ per cell. Its density of states at the Fermi level is 12.3 states/eV/cell.

Density functional theory data (PBE-GGA) for a geometry-optimized EuInPb structure.

Lattice parameters (Å, degrees): 3.9455 3.9455 6.5347 107.57 107.57 90.00
Last column: magnetic moment on the atom in μB.
Atoms (fractional coordinates):
1 Pb 0.2656 0.2656 0.5312  -0.01
2 Eu 0.9530 0.9530 0.9060  6.92
3 In 0.6314 0.6314 0.2628  0.01

Results
The space group is I4mm. For the formation energy, the calculation gives -0.319 eV per atom. The total energy comes out at -5.89 eV/atom. The magnetization comes out at 7.2 μB per cell. Its calculated volume is 92 Å³ per cell. Its density of states at the Fermi level is 7.3 states/eV/cell.

Density functional theory data (PBE-GGA) for a geometry-optimized EuInPb structure.

Lattice parameters (Å, degrees): 5.2554 5.2554 5.2554 60.00 60.00 60.00
Last column: magnetic moment on the atom in μB.
Atoms (fractional coordinates):
1 Pb 0.0000 0.0000 0.0000  -0.01
2 Eu 0.5000 0.5000 0.5000  6.90
3 In 0.2500 0.2500 0.2500  0.01

Results
The space group is F-43m. For the formation energy, the calculation gives -0.257 eV per atom. The total energy comes out at -5.83 eV/atom. The magnetization comes out at 7.1 μB per cell. Its calculated volume is 103 Å³ per cell. Its density of states at the Fermi level is 5.8 states/eV/cell.